{
  "formula": "PaAu2",
  "functional": "PBE",
  "state": "optimized geometry",
  "lattice": [[-4.273, 2.249, -2.944], [-3.589, -3.363, -2.792], [-5.318, -0.598, 1.830]],
  "species": ["Pa", "Pa", "Au", "Au", "Au", "Au"],
  "fractional_positions": [[0.000, 0.000, 0.000], [0.250, 0.250, 0.250], [0.125, 0.625, 0.625], [0.625, 0.125, 0.625], [0.625, 0.625, 0.625], [0.625, 0.625, 0.125]],
  "e_tot_ev_per_atom": -5.45,
  "formation_energy_mev_per_atom": -104
}